Compound: ReBi2WO
Source: Alexandria
Functional: PBE+U
Structure: relaxed

Cell: 5.404 4.855 5.404 Å, 90.00 90.00 90.00°
Positions (direct):
Bi: 0.500 0.000 0.000
Re: 0.000 0.500 0.000
Bi: 0.000 0.000 0.500
O: 0.500 0.500 0.500
W: 0.000 0.000 0.000

Summary:
The value obtained for the total energy is -4.56 eV/atom.